# Rb3Np4S8

A relaxed Rb3Np4S8 crystal (PBE, Alexandria).

Values from the calculation:
- E_form (uncorrected) (eV per atom) = -1.115
- SG = C2/m (12)
- density (g/cm³) = 5.5
- magnetization (μB per cell) = 8.68

a = 8.4966 Å, b = 8.4966 Å, c = 8.2954 Å
α = 118.73°, β = 118.73°, γ = 90.13°
Positions (direct):
1 Rb 0.0000 0.0000 0.0000
2 Rb 0.0000 0.5000 0.0000
3 Rb 0.5000 0.0000 0.0000
4 Np 0.0000 0.5000 0.5000
5 Np 0.5000 0.0000 0.5000
6 Np 0.5000 0.5000 0.0000
7 Np 0.5000 0.5000 0.5000
8 S 0.2737 0.7263 0.0000
9 S 0.2739 0.7261 0.5000
10 S 0.2805 0.2805 0.5349
11 S 0.3108 0.3108 0.0663
12 S 0.6892 0.6892 0.9337
13 S 0.7195 0.7195 0.4651
14 S 0.7263 0.2737 0.0000
15 S 0.7261 0.2739 0.5000

***

# Fe3ReNi

A relaxed Fe3ReNi crystal (PBE, Alexandria).

Values from the calculation:
- SG = Pm-3m (221)
- density (g/cm³) = 7.9
- magnetization (μB per cell) = 5.49
- energy relative to the elements (meV per atom) = 1682

a = 4.4343 Å, b = 4.4343 Å, c = 4.4343 Å
α = 90.00°, β = 90.00°, γ = 90.00°
Positions (direct):
1 Fe 0.0000 0.0000 0.5000
2 Fe 0.0000 0.5000 0.0000
3 Fe 0.5000 0.0000 0.0000
4 Re 0.0000 0.0000 0.0000
5 Ni 0.5000 0.5000 0.5000

***

# Cs2TeSeBr6

A relaxed Cs2TeSeBr6 crystal (PBE, Alexandria).

Values from the calculation:
- E_form (uncorrected) (eV per atom) = -0.832
- SG = I4/mmm (139)
- density (g/cm³) = 4.2
- magnetization (μB per cell) = 0.00

a = 8.0509 Å, b = 8.0509 Å, c = 8.0509 Å
α = 119.20°, β = 119.20°, γ = 91.39°
Positions (direct):
1 Cs 0.2500 0.7500 0.5000
2 Cs 0.7500 0.2500 0.5000
3 Te 0.0000 0.0000 0.0000
4 Se 0.5000 0.5000 0.0000
5 Br 0.2477 0.2477 0.4955
6 Br 0.2477 0.7523 0.0000
7 Br 0.2551 0.2551 0.0000
8 Br 0.7449 0.7449 0.0000
9 Br 0.7523 0.2477 0.0000
10 Br 0.7523 0.7523 0.5045

***

# Pr2NdDy6

A relaxed Pr2NdDy6 crystal (PBE, Alexandria).

Values from the calculation:
- SG = C2/m (12)
- density (g/cm³) = 7.8
- magnetization (μB per cell) = 0.00
- energy relative to the elements (meV per atom) = 104

a = 9.8584 Å, b = 9.8584 Å, c = 3.5125 Å
α = 100.20°, β = 100.20°, γ = 63.54°
Positions (direct):
1 Pr 0.1570 0.1570 0.1557
2 Pr 0.8430 0.8430 0.8443
3 Nd 0.5000 0.5000 0.0000
4 Dy 0.1557 0.4892 0.8211
5 Dy 0.1872 0.8128 0.5000
6 Dy 0.4892 0.1557 0.8211
7 Dy 0.5108 0.8443 0.1789
8 Dy 0.8128 0.1872 0.5000
9 Dy 0.8443 0.5108 0.1789

***

# Na2YMnSe4

A relaxed Na2YMnSe4 crystal (PBE, Alexandria).

Values from the calculation:
- E_form (uncorrected) (eV per atom) = -1.169
- SG = P2/m (10)
- density (g/cm³) = 4.4
- magnetization (μB per cell) = 4.00

a = 6.8433 Å, b = 4.0148 Å, c = 7.3628 Å
α = 90.00°, β = 108.10°, γ = 90.00°
Positions (direct):
1 Na 0.0000 0.0000 0.0000
2 Na 0.5000 0.5000 0.0000
3 Y 0.0000 0.5000 0.5000
4 Mn 0.5000 0.0000 0.5000
5 Se 0.2649 0.0000 0.7208
6 Se 0.2792 0.5000 0.2851
7 Se 0.7208 0.5000 0.7149
8 Se 0.7351 0.0000 0.2792

***

# Tb5Sm4Cd2

A relaxed Tb5Sm4Cd2 crystal (PBE, Alexandria).

Values from the calculation:
- SG = P2/m (10)
- density (g/cm³) = 7.9
- magnetization (μB per cell) = 0.00
- energy relative to the elements (meV per atom) = 8

a = 8.6393 Å, b = 3.5001 Å, c = 11.3061 Å
α = 90.00°, β = 93.79°, γ = 90.00°
Positions (direct):
1 Tb 0.0000 0.0000 0.0000
2 Tb 0.0690 0.0000 0.2946
3 Tb 0.2952 0.0000 0.8325
4 Tb 0.7048 0.0000 0.1675
5 Tb 0.9310 0.0000 0.7054
6 Sm 0.2242 0.5000 0.5477
7 Sm 0.3548 0.5000 0.1183
8 Sm 0.6452 0.5000 0.8817
9 Sm 0.7758 0.5000 0.4523
10 Cd 0.4458 0.0000 0.3680
11 Cd 0.5542 0.0000 0.6320